[1]
Crystalline BaCrHg at its relaxed geometry, computed with GGA-PBE. Values from VASP.

Structure (Quantum ESPRESSO input):
```
&SYSTEM
  ibrav = 0, nat = 3, ntyp = 3
/
ATOMIC_SPECIES
Ba 137.33 Ba.upf
Cr 52.00 Cr.upf
Hg 200.59 Hg.upf
CELL_PARAMETERS angstrom
0.000 3.692 3.692
3.692 0.000 3.692
3.692 3.692 0.000
ATOMIC_POSITIONS crystal
Ba 0.000 0.000 0.000
Cr 0.750 0.750 0.750
Hg 0.500 0.500 0.500
```

Calculated values
ΔE to the lowest computed polymorph = 238 meV per atom
Energy of formation from the pure elements = 453 meV/atom
M_tot = 4.29 Bohr magnetons per cell


[2]
Crystalline AlCu2Sb at its relaxed geometry, computed with GGA-PBE. Values from VASP.

Structure (Quantum ESPRESSO input):
```
&SYSTEM
  ibrav = 0, nat = 4, ntyp = 3
/
ATOMIC_SPECIES
Al 26.98 Al.upf
Cu 63.55 Cu.upf
Sb 121.76 Sb.upf
CELL_PARAMETERS angstrom
2.919 0.000 0.000
0.000 3.281 0.000
-0.173 0.000 7.152
ATOMIC_POSITIONS crystal
Al 0.000 0.000 0.000
Cu 0.494 0.500 0.812
Cu 0.506 0.500 0.188
Sb 0.500 0.000 0.500
```

Calculated values
ΔE to the lowest computed polymorph = 44 meV per atom
M_tot = 0.00 Bohr magnetons per cell
E_form (uncorrected) = 0.077 eV per atom